1.
# Pm4DyCu4 (PBE-GGA, optimized geometry)
data_Pm4DyCu4
_symmetry_space_group_name_H-M 'P 42/n'
_symmetry_Int_Tables_number 86
_cell_length_a 8.477
_cell_length_b 8.477
_cell_length_c 6.380
_cell_angle_alpha 90.00
_cell_angle_beta 90.00
_cell_angle_gamma 90.00
loop_
_symmetry_equiv_pos_as_xyz
'x,y,z'
'-x,-y,-z'
'-y,x+1/2,z+1/2'
'y,-x+1/2,-z+1/2'
'-x+1/2,-y+1/2,z'
'x+1/2,y+1/2,-z'
'y+1/2,-x,z+1/2'
'-y+1/2,x,-z+1/2'
loop_
_atom_site_label
_atom_site_fract_x
_atom_site_fract_y
_atom_site_fract_z
Pm1 0.044 0.661 0.152
Dy1 0.250 0.250 0.250
Cu1 0.018 0.628 0.600
# - DOS(E_F) (states/eV per cell) = 19.37
# - E_form (eV/atom) = -0.02

2.
# PmDyCu3 (PBE-GGA, optimized geometry)
data_PmDyCu3
_symmetry_space_group_name_H-M 'C m c m'
_symmetry_Int_Tables_number 63
_symmetry_space_group_name_Hall '-C 2c 2'
_cell_length_a 3.585
_cell_length_b 26.146
_cell_length_c 4.328
_cell_angle_alpha 90.00
_cell_angle_beta 90.00
_cell_angle_gamma 90.00
loop_
_atom_site_label
_atom_site_fract_x
_atom_site_fract_y
_atom_site_fract_z
Pm1 0.000 0.202 0.250
Dy1 0.000 0.069 0.750
Cu1 0.000 0.335 0.250
Cu2 0.000 0.385 0.750
Cu3 0.000 0.478 0.750
# - DOS(E_F) (states/eV per cell) = 14.24
# - E_form (eV/atom) = -0.22

3.
# Pm2Dy2Cu (PBE-GGA, optimized geometry)
data_Pm2Dy2Cu
_symmetry_space_group_name_H-M 'I 4/m m m'
_symmetry_Int_Tables_number 139
_symmetry_space_group_name_Hall '-I 4 2'
_cell_length_a 3.540
_cell_length_b 3.540
_cell_length_c 22.717
_cell_angle_alpha 90.00
_cell_angle_beta 90.00
_cell_angle_gamma 90.00
loop_
_atom_site_label
_atom_site_fract_x
_atom_site_fract_y
_atom_site_fract_z
Pm1 0.000 0.000 0.192
Dy1 0.000 0.000 0.426
Cu1 0.000 0.000 0.000
# - DOS(E_F) (states/eV per cell) = 13.38
# - E_form (eV/atom) = -0.07

4.
# PmDy5Cu6 (PBE-GGA, optimized geometry)
data_PmDy5Cu6
_symmetry_space_group_name_H-M 'P 1 2/m 1'
_symmetry_Int_Tables_number 10
_cell_length_a 4.944
_cell_length_b 6.911
_cell_length_c 7.820
_cell_angle_alpha 90.00
_cell_angle_beta 108.22
_cell_angle_gamma 90.00
loop_
_symmetry_equiv_pos_as_xyz
'x,y,z'
'-x,-y,-z'
'-x,y,-z'
'x,-y,z'
loop_
_atom_site_label
_atom_site_fract_x
_atom_site_fract_y
_atom_site_fract_z
Pm1 0.000 0.000 0.000
Dy1 0.000 0.500 0.000
Dy2 0.333 0.000 0.665
Dy3 0.334 0.500 0.668
Cu1 0.168 0.252 0.339
Cu2 0.500 0.259 0.000
# - DOS(E_F) (states/eV per cell) = 5.03
# - E_form (eV/atom) = -0.24

5.
# Pm4DyCu5 (PBE-GGA, optimized geometry)
data_Pm4DyCu5
_symmetry_space_group_name_H-M 'P 4/m m m'
_symmetry_Int_Tables_number 123
_symmetry_space_group_name_Hall '-P 4 2'
_cell_length_a 3.529
_cell_length_b 3.529
_cell_length_c 17.901
_cell_angle_alpha 90.00
_cell_angle_beta 90.00
_cell_angle_gamma 90.00
loop_
_atom_site_label
_atom_site_fract_x
_atom_site_fract_y
_atom_site_fract_z
Pm1 0.000 0.000 0.101
Pm2 0.000 0.000 0.303
Dy1 0.000 0.000 0.500
Cu1 0.500 0.500 0.000
Cu2 0.500 0.500 0.202
Cu3 0.500 0.500 0.407
# - DOS(E_F) (states/eV per cell) = 6.05
# - E_form (eV/atom) = -0.18

6.
# PmDy3Cu4 (PBE-GGA, optimized geometry)
data_PmDy3Cu4
_symmetry_space_group_name_H-M 'P 4/m m m'
_symmetry_Int_Tables_number 123
_symmetry_space_group_name_Hall '-P 4 2'
_cell_length_a 4.944
_cell_length_b 4.944
_cell_length_c 6.966
_cell_angle_alpha 90.00
_cell_angle_beta 90.00
_cell_angle_gamma 90.00
loop_
_atom_site_label
_atom_site_fract_x
_atom_site_fract_y
_atom_site_fract_z
Pm1 0.000 0.000 0.000
Dy1 0.000 0.000 0.500
Dy2 0.500 0.500 0.000
Dy3 0.500 0.500 0.500
Cu1 0.000 0.500 0.258
# - DOS(E_F) (states/eV per cell) = 5.14
# - E_form (eV/atom) = -0.23

7.
# PmDyCu2 (PBE-GGA, optimized geometry)
data_PmDyCu2
_symmetry_space_group_name_H-M 'P 4/m m m'
_symmetry_Int_Tables_number 123
_symmetry_space_group_name_Hall '-P 4 2'
_cell_length_a 3.504
_cell_length_b 3.504
_cell_length_c 7.071
_cell_angle_alpha 90.00
_cell_angle_beta 90.00
_cell_angle_gamma 90.00
loop_
_atom_site_label
_atom_site_fract_x
_atom_site_fract_y
_atom_site_fract_z
Pm1 0.000 0.000 0.000
Dy1 0.000 0.000 0.500
Cu1 0.500 0.500 0.267
# - DOS(E_F) (states/eV per cell) = 2.06
# - E_form (eV/atom) = -0.21

8.
# Pm2DyCu6 (PBE-GGA, optimized geometry)
data_Pm2DyCu6
_symmetry_space_group_name_H-M 'I m m m'
_symmetry_Int_Tables_number 71
_symmetry_space_group_name_Hall '-I 2 2'
_cell_length_a 3.576
_cell_length_b 7.268
_cell_length_c 13.618
_cell_angle_alpha 90.00
_cell_angle_beta 90.00
_cell_angle_gamma 90.00
loop_
_atom_site_label
_atom_site_fract_x
_atom_site_fract_y
_atom_site_fract_z
Pm1 0.000 0.000 0.144
Dy1 0.000 0.500 0.000
Cu1 0.000 0.172 0.335
Cu2 0.000 0.321 0.500
# - DOS(E_F) (states/eV per cell) = 11.61
# - E_form (eV/atom) = -0.09

9.
# Pm2DyCu (PBE-GGA, optimized geometry)
data_Pm2DyCu
_symmetry_space_group_name_H-M 'P 1 21/m 1'
_symmetry_Int_Tables_number 11
_cell_length_a 4.963
_cell_length_b 7.723
_cell_length_c 6.346
_cell_angle_alpha 90.00
_cell_angle_beta 113.00
_cell_angle_gamma 90.00
loop_
_symmetry_equiv_pos_as_xyz
'x,y,z'
'-x,-y,-z'
'-x,y+1/2,-z'
'x,-y+1/2,z'
loop_
_atom_site_label
_atom_site_fract_x
_atom_site_fract_y
_atom_site_fract_z
Pm1 0.146 0.030 0.291
Dy1 0.456 0.250 0.912
Cu1 0.299 0.750 0.599
# - DOS(E_F) (states/eV per cell) = 9.13
# - E_form (eV/atom) = -0.04

10.
# Pm2DyCu (PBE-GGA, optimized geometry)
data_Pm2DyCu
_symmetry_space_group_name_H-M 'R 3 m'
_symmetry_Int_Tables_number 160
_symmetry_space_group_name_Hall 'R 3 -2"'
_cell_length_a 3.6762
_cell_length_b 3.6762
_cell_length_c 29.8520
_cell_angle_alpha 90.00
_cell_angle_beta 90.00
_cell_angle_gamma 120.00
loop_
_atom_site_label
_atom_site_fract_x
_atom_site_fract_y
_atom_site_fract_z
Pm1 0.0000 0.0000 0.0000
Pm2 0.0000 0.0000 0.1949
Dy1 0.0000 0.0000 0.7645
Cu1 0.0000 0.0000 0.5973
# - DOS(E_F) (states/eV per cell) = 14.97
# - E_form (eV/atom) = 0.06

11.
# PmDy5Cu4 (PBE-GGA, optimized geometry)
data_PmDy5Cu4
_symmetry_space_group_name_H-M 'P 4/m m m'
_symmetry_Int_Tables_number 123
_symmetry_space_group_name_Hall '-P 4 2'
_cell_length_a 3.471
_cell_length_b 3.471
_cell_length_c 19.221
_cell_angle_alpha 90.00
_cell_angle_beta 90.00
_cell_angle_gamma 90.00
loop_
_atom_site_label
_atom_site_fract_x
_atom_site_fract_y
_atom_site_fract_z
Pm1 0.000 0.000 0.000
Dy1 0.500 0.500 0.140
Dy2 0.500 0.500 0.319
Dy3 0.500 0.500 0.500
Cu1 0.000 0.000 0.228
Cu2 0.000 0.000 0.409
# - DOS(E_F) (states/eV per cell) = 6.74
# - E_form (eV/atom) = -0.20

12.
# PmDyCu2 (PBE-GGA, optimized geometry)
data_PmDyCu2
_symmetry_space_group_name_H-M 'F m -3 m'
_symmetry_Int_Tables_number 225
_symmetry_space_group_name_Hall '-F 4 2 3'
_cell_length_a 7.040
_cell_length_b 7.040
_cell_length_c 7.040
_cell_angle_alpha 90.00
_cell_angle_beta 90.00
_cell_angle_gamma 90.00
loop_
_atom_site_label
_atom_site_fract_x
_atom_site_fract_y
_atom_site_fract_z
Pm1 0.000 0.000 0.000
Dy1 0.000 0.000 0.500
Cu1 0.250 0.250 0.250
# - DOS(E_F) (states/eV per cell) = 14.03
# - E_form (eV/atom) = -0.20

13.
# Pm5DyCu6 (PBE-GGA, optimized geometry)
data_Pm5DyCu6
_symmetry_space_group_name_H-M 'C 1 2/m 1'
_symmetry_Int_Tables_number 12
_cell_length_a 15.916
_cell_length_b 7.047
_cell_length_c 5.044
_cell_angle_alpha 90.00
_cell_angle_beta 108.35
_cell_angle_gamma 90.00
loop_
_symmetry_equiv_pos_as_xyz
'x,y,z'
'-x,-y,-z'
'-x,y,-z'
'x,-y,z'
'x+1/2,y+1/2,z'
'-x+1/2,-y+1/2,-z'
'-x+1/2,y+1/2,-z'
'x+1/2,-y+1/2,z'
loop_
_atom_site_label
_atom_site_fract_x
_atom_site_fract_y
_atom_site_fract_z
Pm1 0.000 0.000 0.000
Pm2 0.166 0.000 0.666
Pm3 0.167 0.500 0.667
Dy1 0.000 0.500 0.000
Cu1 0.000 0.263 0.500
Cu2 0.164 0.255 0.163
# - DOS(E_F) (states/eV per cell) = 14.47
# - E_form (eV/atom) = -0.18

14.
# Pm2DyCu2 (PBE-GGA, optimized geometry)
data_Pm2DyCu2
_symmetry_space_group_name_H-M 'C 1 2/m 1'
_symmetry_Int_Tables_number 12
_cell_length_a 11.833
_cell_length_b 4.660
_cell_length_c 10.366
_cell_angle_alpha 90.00
_cell_angle_beta 120.68
_cell_angle_gamma 90.00
loop_
_symmetry_equiv_pos_as_xyz
'x,y,z'
'-x,-y,-z'
'-x,y,-z'
'x,-y,z'
'x+1/2,y+1/2,z'
'-x+1/2,-y+1/2,-z'
'-x+1/2,y+1/2,-z'
'x+1/2,-y+1/2,z'
loop_
_atom_site_label
_atom_site_fract_x
_atom_site_fract_y
_atom_site_fract_z
Pm1 0.037 0.000 0.192
Pm2 0.181 0.000 0.590
Dy1 0.194 0.500 0.853
Cu1 0.048 0.500 0.413
Cu2 0.124 0.500 0.071
# - DOS(E_F) (states/eV per cell) = 17.09
# - E_form (eV/atom) = -0.11

15.
# Pm2DyCu6 (PBE-GGA, optimized geometry)
data_Pm2DyCu6
_symmetry_space_group_name_H-M 'P 6/m m m'
_symmetry_Int_Tables_number 191
_symmetry_space_group_name_Hall '-P 6 2'
_cell_length_a 7.3745
_cell_length_b 7.3745
_cell_length_c 3.6648
_cell_angle_alpha 90.00
_cell_angle_beta 90.00
_cell_angle_gamma 120.00
loop_
_atom_site_label
_atom_site_fract_x
_atom_site_fract_y
_atom_site_fract_z
Pm1 0.3333 0.6667 0.0000
Dy1 0.0000 0.0000 0.0000
Cu1 0.0000 0.3313 0.5000
# - DOS(E_F) (states/eV per cell) = 3.97
# - E_form (eV/atom) = -0.24

16.
# PmDy4Cu5 (PBE-GGA, optimized geometry)
data_PmDy4Cu5
_symmetry_space_group_name_H-M 'P 4/m m m'
_symmetry_Int_Tables_number 123
_symmetry_space_group_name_Hall '-P 4 2'
_cell_length_a 3.467
_cell_length_b 3.467
_cell_length_c 17.630
_cell_angle_alpha 90.00
_cell_angle_beta 90.00
_cell_angle_gamma 90.00
loop_
_atom_site_label
_atom_site_fract_x
_atom_site_fract_y
_atom_site_fract_z
Pm1 0.000 0.000 0.000
Dy1 0.000 0.000 0.203
Dy2 0.000 0.000 0.401
Cu1 0.500 0.500 0.108
Cu2 0.500 0.500 0.302
Cu3 0.500 0.500 0.500
# - DOS(E_F) (states/eV per cell) = 3.94
# - E_form (eV/atom) = -0.24

17.
# PmDyCu2 (PBE-GGA, optimized geometry)
data_PmDyCu2
_symmetry_space_group_name_H-M 'P 1 m 1'
_symmetry_Int_Tables_number 6
_cell_length_a 3.821
_cell_length_b 4.499
_cell_length_c 5.529
_cell_angle_alpha 90.00
_cell_angle_beta 109.50
_cell_angle_gamma 90.00
loop_
_symmetry_equiv_pos_as_xyz
'x,y,z'
'x,-y,z'
loop_
_atom_site_label
_atom_site_fract_x
_atom_site_fract_y
_atom_site_fract_z
Pm1 0.000 0.000 0.000
Dy1 0.280 0.500 0.565
Cu1 0.577 0.500 0.150
Cu2 0.709 0.000 0.425
# - DOS(E_F) (states/eV per cell) = 2.83
# - E_form (eV/atom) = -0.22

18.
# PmDy3Cu (PBE-GGA, optimized geometry)
data_PmDy3Cu
_symmetry_space_group_name_H-M 'P m -3 m'
_symmetry_Int_Tables_number 221
_symmetry_space_group_name_Hall '-P 4 2 3'
_cell_length_a 5.384
_cell_length_b 5.384
_cell_length_c 5.384
_cell_angle_alpha 90.00
_cell_angle_beta 90.00
_cell_angle_gamma 90.00
loop_
_atom_site_label
_atom_site_fract_x
_atom_site_fract_y
_atom_site_fract_z
Pm1 0.000 0.000 0.000
Dy1 0.000 0.500 0.500
Cu1 0.500 0.500 0.500
# - DOS(E_F) (states/eV per cell) = 5.86
# - E_form (eV/atom) = 0.09

19.
# PmDyCu3 (PBE-GGA, optimized geometry)
data_PmDyCu3
_symmetry_space_group_name_H-M 'C m c m'
_symmetry_Int_Tables_number 63
_symmetry_space_group_name_Hall '-C 2c 2'
_cell_length_a 3.717
_cell_length_b 25.524
_cell_length_c 4.310
_cell_angle_alpha 90.00
_cell_angle_beta 90.00
_cell_angle_gamma 90.00
loop_
_atom_site_label
_atom_site_fract_x
_atom_site_fract_y
_atom_site_fract_z
Pm1 0.000 0.072 0.250
Dy1 0.000 0.204 0.750
Cu1 0.000 0.327 0.750
Cu2 0.000 0.380 0.250
Cu3 0.000 0.477 0.250
# - DOS(E_F) (states/eV per cell) = 14.05
# - E_form (eV/atom) = -0.23

20.
# Pm2DyCu4 (PBE-GGA, optimized geometry)
data_Pm2DyCu4
_symmetry_space_group_name_H-M 'I 4/m m m'
_symmetry_Int_Tables_number 139
_symmetry_space_group_name_Hall '-I 4 2'
_cell_length_a 5.157
_cell_length_b 5.157
_cell_length_c 11.796
_cell_angle_alpha 90.00
_cell_angle_beta 90.00
_cell_angle_gamma 90.00
loop_
_atom_site_label
_atom_site_fract_x
_atom_site_fract_y
_atom_site_fract_z
Pm1 0.000 0.000 0.208
Dy1 0.000 0.000 0.500
Cu1 0.000 0.500 0.110
# - DOS(E_F) (states/eV per cell) = 14.52
# - E_form (eV/atom) = 0.01

21.
# Pm2DyCu (PBE-GGA, optimized geometry)
data_Pm2DyCu
_symmetry_space_group_name_H-M 'P n m a'
_symmetry_Int_Tables_number 62
_cell_length_a 6.974
_cell_length_b 9.925
_cell_length_c 6.541
_cell_angle_alpha 90.00
_cell_angle_beta 90.00
_cell_angle_gamma 90.00
loop_
_symmetry_equiv_pos_as_xyz
'x,y,z'
'-x,-y,-z'
'-x+1/2,-y,z+1/2'
'x+1/2,y,-z+1/2'
'x+1/2,-y+1/2,-z+1/2'
'-x+1/2,y+1/2,z+1/2'
'-x,y+1/2,-z'
'x,-y+1/2,z'
loop_
_atom_site_label
_atom_site_fract_x
_atom_site_fract_y
_atom_site_fract_z
Pm1 0.195 0.059 0.181
Dy1 0.025 0.250 0.638
Cu1 0.098 0.750 0.949
# - DOS(E_F) (states/eV per cell) = 16.94
# - E_form (eV/atom) = -0.07

22.
# Pm2DyCu (PBE-GGA, optimized geometry)
data_Pm2DyCu
_symmetry_space_group_name_H-M 'P 4/m m m'
_symmetry_Int_Tables_number 123
_symmetry_space_group_name_Hall '-P 4 2'
_cell_length_a 3.597
_cell_length_b 3.597
_cell_length_c 8.650
_cell_angle_alpha 90.00
_cell_angle_beta 90.00
_cell_angle_gamma 90.00
loop_
_atom_site_label
_atom_site_fract_x
_atom_site_fract_y
_atom_site_fract_z
Pm1 0.000 0.000 0.202
Dy1 0.500 0.500 0.500
Cu1 0.500 0.500 0.000
# - DOS(E_F) (states/eV per cell) = 6.29
# - E_form (eV/atom) = -0.05

23.
# Pm3Dy3CuS8 (PBE-GGA, optimized geometry)
data_Pm3Dy3CuS8
_symmetry_space_group_name_H-M 'R -3 m'
_symmetry_Int_Tables_number 166
_symmetry_space_group_name_Hall '-R 3 2"'
_cell_length_a 7.8564
_cell_length_b 7.8564
_cell_length_c 19.3565
_cell_angle_alpha 90.00
_cell_angle_beta 90.00
_cell_angle_gamma 120.00
loop_
_atom_site_label
_atom_site_fract_x
_atom_site_fract_y
_atom_site_fract_z
Pm1 0.0000 0.5000 0.0000
Dy1 0.0000 0.5000 0.5000
Cu1 0.0000 0.0000 0.5000
S1 0.0000 0.0000 0.2467
S2 0.0050 0.5025 0.2453
# - DOS(E_F) (states/eV per cell) = 13.39
# - E_form (uncorrected) (meV/atom) = -1819.4